VASP calculation (GGA-PBE) on a relaxed structure of PuMn2SiN.

Output
Energy relative to the elements, uncorrected ... -0.653 eV per atom
Total moment ... 30.3 μB per cell
Fermi-level density of states ... 41.63 states/eV per cell
Total DFT energy (no corrections) ... -198.7 eV per cell

a = 3.611 Å, b = 10.709 Å, c = 6.966 Å
α = 90.00°, β = 90.00°, γ = 90.00°
Space group Cmcm (No. 63)
Symmetry-distinct sites (fractional):
1 Pu 0.000 0.042 0.250 x4
2 Mn 0.000 0.331 0.058 x8
3 Si 0.000 0.235 0.750 x4
4 N 0.000 0.500 0.000 x4

VASP calculation (GGA-PBE) on a relaxed structure of Mg6CoSn.

Output
DFT formation energy ... 64.6 meV per atom
Total moment ... 1.3 μB per cell
Fermi-level density of states ... 11.38 states/eV per cell
Total DFT energy (no corrections) ... -40.3 eV per cell
Energy relative to the lowest polymorph listed for this composition ... 0.0124 eV per atom

a = 4.917 Å, b = 6.151 Å, c = 10.674 Å
α = 90.00°, β = 90.00°, γ = 90.00°
Space group Amm2 (No. 38)
Symmetry-distinct sites (fractional):
1 Mg 0.000 0.000 0.000 x2
2 Mg 0.000 0.000 0.489 x2
3 Mg 0.000 0.234 0.251 x4
4 Mg 0.500 0.248 0.582 x4
5 Co 0.500 0.000 0.332 x2
6 Sn 0.500 0.000 0.833 x2

VASP calculation (GGA-PBE) on a relaxed structure of PmNd2ZnN.

Output
Energy relative to the elements, uncorrected ... -0.636 eV per atom
Total moment ... 0.0 μB per cell
Fermi-level density of states ... 5.08 states/eV per cell
Total DFT energy (no corrections) ... -27.1 eV per cell

a = 4.996 Å, b = 4.996 Å, c = 4.937 Å
α = 90.00°, β = 90.00°, γ = 90.00°
Space group P4/mmm (No. 123)
Symmetry-distinct sites (fractional):
1 Pm 0.000 0.000 0.000 x1
2 Nd 0.000 0.500 0.500 x2
3 Zn 0.500 0.500 0.000 x1
4 N 0.000 0.000 0.500 x1

> Among the records above, which one has the highest total moment?

PuMn2SiN